! MnTlS3 meta-GGA SCAN PBEsol geometry; values from VASP
&SYSTEM
  ibrav = 0, nat = 5, ntyp = 3
/
ATOMIC_SPECIES
Mn 54.94 Mn.upf
Tl 204.38 Tl.upf
S 32.06 S.upf
ATOMIC_POSITIONS crystal
Mn 0.0000 0.0000 0.0000
Tl 0.5000 0.5000 0.5000
S 0.0000 0.0000 0.5000
S 0.0000 0.5000 0.0000
S 0.5000 0.0000 0.0000
CELL_PARAMETERS angstrom
4.5694 0.0000 0.0000
0.0000 4.5694 0.0000
0.0000 0.0000 4.5694
! Space-group type: No. 221
! Density of states at the Fermi level (states/eV per atom): 0.97

! MnTlS2 meta-GGA SCAN PBEsol geometry; values from VASP
&SYSTEM
  ibrav = 0, nat = 8, ntyp = 3
/
ATOMIC_SPECIES
Mn 54.94 Mn.upf
Tl 204.38 Tl.upf
S 32.06 S.upf
ATOMIC_POSITIONS crystal
Mn 0.0000 0.0000 0.0000
Mn 0.7500 0.2500 0.5000
Tl 0.2500 0.7500 0.5000
Tl 0.5000 0.5000 0.0000
S 0.0364 0.1250 0.4114
S 0.3750 0.9636 0.0886
S 0.7136 0.6250 0.5886
S 0.8750 0.2864 0.9114
CELL_PARAMETERS angstrom
-3.4806 3.4806 3.6641
3.4806 -3.4806 3.6641
3.4806 3.4806 -3.6641
! Space-group type: No. 122
! Density of states at the Fermi level (states/eV per atom): 0.25

! YMn2S2 meta-GGA SCAN PBEsol geometry; values from VASP
&SYSTEM
  ibrav = 0, nat = 5, ntyp = 3
/
ATOMIC_SPECIES
Y 88.91 Y.upf
Mn 54.94 Mn.upf
S 32.06 S.upf
ATOMIC_POSITIONS crystal
Y 0.0000 0.0000 0.0000
Mn 0.3648 0.3648 0.0000
Mn 0.6352 0.6352 0.0000
S 0.2500 0.7500 0.5000
S 0.7500 0.2500 0.5000
CELL_PARAMETERS angstrom
-2.0913 2.0913 4.0224
2.0913 -2.0913 4.0224
2.0913 2.0913 -4.0224
! Space-group type: No. 139
! Density of states at the Fermi level (states/eV per atom): 0.41

! Mn4ZnS8 meta-GGA SCAN PBEsol geometry; values from VASP
&SYSTEM
  ibrav = 0, nat = 13, ntyp = 3
/
ATOMIC_SPECIES
Mn 54.94 Mn.upf
Zn 65.41 Zn.upf
S 32.06 S.upf
ATOMIC_POSITIONS crystal
Mn 0.0000 0.0000 0.0000
Mn 0.0000 0.5000 0.5000
Mn 0.5000 0.0000 0.5000
Mn 0.5000 0.5000 0.0000
Zn 0.5000 0.5000 0.5000
S 0.2440 0.2440 0.7340
S 0.2440 0.7340 0.2440
S 0.2600 0.2600 0.2600
S 0.2660 0.7560 0.7560
S 0.7340 0.2440 0.2440
S 0.7400 0.7400 0.7400
S 0.7560 0.2660 0.7560
S 0.7560 0.7560 0.2660
CELL_PARAMETERS angstrom
3.2690 1.8873 6.0164
-3.2690 1.8873 6.0164
0.0000 -3.7747 6.0164
! Space-group type: No. 166
! Density of states at the Fermi level (states/eV per atom): 0.35

! MnZnS3 meta-GGA SCAN PBEsol geometry; values from VASP
&SYSTEM
  ibrav = 0, nat = 5, ntyp = 3
/
ATOMIC_SPECIES
Mn 54.94 Mn.upf
Zn 65.41 Zn.upf
S 32.06 S.upf
ATOMIC_POSITIONS crystal
Mn 0.0000 0.0000 0.0000
Zn 0.5000 0.5000 0.5000
S 0.0000 0.0000 0.5000
S 0.0000 0.5000 0.0000
S 0.5000 0.0000 0.0000
CELL_PARAMETERS angstrom
4.4656 0.0000 0.0000
0.0000 4.4656 0.0000
0.0000 0.0000 4.4656
! Space-group type: No. 221
! Density of states at the Fermi level (states/eV per atom): 0.58

! MnZn3S4 meta-GGA SCAN PBEsol geometry; values from VASP
&SYSTEM
  ibrav = 0, nat = 8, ntyp = 3
/
ATOMIC_SPECIES
Mn 54.94 Mn.upf
Zn 65.41 Zn.upf
S 32.06 S.upf
ATOMIC_POSITIONS crystal
Mn 0.0000 0.0000 0.0000
Zn 0.0000 0.0000 0.4975
Zn 0.6667 0.3333 0.2509
Zn 0.6667 0.3333 0.7438
S 0.0000 0.0000 0.1887
S 0.0000 0.0000 0.6827
S 0.6667 0.3333 0.4361
S 0.6667 0.3333 0.9288
CELL_PARAMETERS angstrom
3.8085 0.0000 0.0000
-1.9042 3.2982 0.0000
0.0000 0.0000 12.5353
! Space-group type: No. 156

no.,formation energy (no corrections) (eV/atom)
1,-0.207
2,-0.661
3,-0.703
4,-0.795
5,0.099
6,-0.973